VASP calculation (GGA-PBE) on a relaxed Be2FeIr2 crystal.

Final energy, eV/cell: -70.51
V, Å³/cell: 113.18
Spin magnetization, μB/f.u.: 3.44

Lattice parameters (Å, degrees): 6.3186 6.3186 2.8347 90.00 90.00 90.00
With the nearest neighbours (Å) after each atom.
Space group P4/mbm (No. 127)
Symmetry-distinct sites (fractional):
1 Be 0.1270 0.3730 0.0000 [4 per cell]  1 Be 2.27, 6 Ir 2.32-2.35, 2 Fe 2.49
2 Fe 0.0000 0.0000 0.0000 [2 per cell]  4 Be 2.49, 8 Ir 2.75
3 Ir 0.1674 0.6674 0.5000 [4 per cell]  6 Be 2.32-2.35